Run a
# LiMg6Zr, optimized geometry, DFT GGA-PBE
data_LiMg6Zr
_space_group_name_H-M_alt 'P 4/m m m'
_space_group_IT_number 123
_space_group_name_Hall '-P 4 2'
_cell_length_a 4.673
_cell_length_b 4.673
_cell_length_c 8.047
_cell_angle_alpha 90.00
_cell_angle_beta 90.00
_cell_angle_gamma 90.00
loop_
_atom_site_label
_atom_site_fract_x
_atom_site_fract_y
_atom_site_fract_z
Li1 0.000 0.000 0.000
Mg1 0.000 0.500 0.245
Mg2 0.500 0.500 0.000
Mg3 0.500 0.500 0.500
Zr1 0.000 0.000 0.500
# **M_tot**: 0.0 μB per cell

Run b
# LiMg6Zr, optimized geometry, DFT GGA-PBE
data_LiMg6Zr
_space_group_name_H-M_alt 'C m m m'
_space_group_IT_number 65
_space_group_name_Hall '-C 2 2'
_cell_length_a 9.091
_cell_length_b 9.100
_cell_length_c 4.282
_cell_angle_alpha 90.00
_cell_angle_beta 90.00
_cell_angle_gamma 90.00
loop_
_atom_site_label
_atom_site_fract_x
_atom_site_fract_y
_atom_site_fract_z
Li1 0.000 0.000 0.000
Mg1 0.000 0.250 0.500
Mg2 0.250 0.000 0.500
Mg3 0.250 0.250 0.000
Zr1 0.000 0.500 0.000
# **M_tot**: 0.0 μB per cell

Most stable structure, least stable structure: run b, run a.

Run a
# LiMn5, optimized geometry, DFT GGA-PBE
data_LiMn5
_space_group_name_H-M_alt 'F -4 3 m'
_space_group_IT_number 216
_space_group_name_Hall 'F -4 2 3'
_cell_length_a 6.586
_cell_length_b 6.586
_cell_length_c 6.586
_cell_angle_alpha 90.00
_cell_angle_beta 90.00
_cell_angle_gamma 90.00
loop_
_atom_site_label
_atom_site_fract_x
_atom_site_fract_y
_atom_site_fract_z
Li1 0.000 0.000 0.000
Mn1 0.126 0.126 0.374
Mn2 0.250 0.250 0.750
# **M_tot**: 2.7 μB per cell

Run b
# LiMn5, optimized geometry, DFT GGA-PBE
data_LiMn5
_space_group_name_H-M_alt 'P 6/m m m'
_space_group_IT_number 191
_space_group_name_Hall '-P 6 2'
_cell_length_a 4.5745
_cell_length_b 4.5745
_cell_length_c 4.0544
_cell_angle_alpha 90.00
_cell_angle_beta 90.00
_cell_angle_gamma 120.00
loop_
_atom_site_label
_atom_site_fract_x
_atom_site_fract_y
_atom_site_fract_z
Li1 0.0000 0.0000 0.0000
Mn1 0.0000 0.5000 0.5000
Mn2 0.3333 0.6667 0.0000
# **M_tot**: 0.0 μB per cell

Most stable structure, least stable structure: run a, run b.

Run a
# Li4Mn5, optimized geometry, DFT GGA-PBE
data_Li4Mn5
_space_group_name_H-M_alt 'I 4/m m m'
_space_group_IT_number 139
_space_group_name_Hall '-I 4 2'
_cell_length_a 9.317
_cell_length_b 9.317
_cell_length_c 2.741
_cell_angle_alpha 90.00
_cell_angle_beta 90.00
_cell_angle_gamma 90.00
loop_
_atom_site_label
_atom_site_fract_x
_atom_site_fract_y
_atom_site_fract_z
Li1 0.000 0.331 0.000
Mn1 0.000 0.000 0.000
Mn2 0.165 0.165 0.500
# **M_tot**: 18.3 μB per cell

Run b
# Li4Mn5, optimized geometry, DFT GGA-PBE
data_Li4Mn5
_space_group_name_H-M_alt 'P 63/m c m'
_space_group_IT_number 193
_space_group_name_Hall '-P 6c 2'
_cell_length_a 7.4123
_cell_length_b 7.4123
_cell_length_c 5.0725
_cell_angle_alpha 90.00
_cell_angle_beta 90.00
_cell_angle_gamma 120.00
loop_
_atom_site_label
_atom_site_fract_x
_atom_site_fract_y
_atom_site_fract_z
Li1 0.0000 0.0000 0.0000
Li2 0.0000 0.2827 0.2500
Mn1 0.0000 0.3984 0.7500
Mn2 0.3333 0.6667 0.0000
# **M_tot**: 10.0 μB per cell

Most stable structure, least stable structure: run a, run b.

Run a
# LiMn2Mo, optimized geometry, DFT GGA-PBE
data_LiMn2Mo
_space_group_name_H-M_alt 'P 4 m m'
_space_group_IT_number 99
_cell_length_a 2.986
_cell_length_b 2.986
_cell_length_c 5.910
_cell_angle_alpha 90.00
_cell_angle_beta 90.00
_cell_angle_gamma 90.00
loop_
_space_group_symop_operation_xyz
'x,y,z'
'-y,x,z'
'-x,-y,z'
'y,-x,z'
'-x,y,z'
'y,x,z'
'x,-y,z'
'-y,-x,z'
loop_
_atom_site_label
_atom_site_fract_x
_atom_site_fract_y
_atom_site_fract_z
Li1 0.000 0.000 0.000
Mn1 0.000 0.000 0.495
Mn2 0.500 0.500 0.239
Mo1 0.500 0.500 0.723
# **M_tot**: 3.0 μB per cell

Run b
# LiMn2Mo, optimized geometry, DFT GGA-PBE
data_LiMn2Mo
_space_group_name_H-M_alt 'I -4 2 d'
_space_group_IT_number 122
_space_group_name_Hall 'I -4 2bw'
_cell_length_a 6.563
_cell_length_b 6.563
_cell_length_c 5.225
_cell_angle_alpha 90.00
_cell_angle_beta 90.00
_cell_angle_gamma 90.00
loop_
_atom_site_label
_atom_site_fract_x
_atom_site_fract_y
_atom_site_fract_z
Li1 0.000 0.000 0.000
Mn1 0.248 0.250 0.625
Mo1 0.000 0.000 0.500
# **M_tot**: 14.7 μB per cell

Most stable structure, least stable structure: run a, run b.

Run a
# LiMn2Mo, optimized geometry, DFT GGA-PBE
data_LiMn2Mo
_space_group_name_H-M_alt 'C m m 2'
_space_group_IT_number 35
_cell_length_a 3.176
_cell_length_b 4.099
_cell_length_c 8.533
_cell_angle_alpha 90.00
_cell_angle_beta 90.00
_cell_angle_gamma 90.00
loop_
_space_group_symop_operation_xyz
'x,y,z'
'-x,-y,z'
'-x,y,z'
'x,-y,z'
'x+1/2,y+1/2,z'
'-x+1/2,-y+1/2,z'
'-x+1/2,y+1/2,z'
'x+1/2,-y+1/2,z'
loop_
_atom_site_label
_atom_site_fract_x
_atom_site_fract_y
_atom_site_fract_z
Li1 0.000 0.000 0.000
Mn1 0.000 0.000 0.528
Mn2 0.000 0.500 0.734
Mo1 0.000 0.500 0.283
# **M_tot**: 1.3 μB per cell

Run b
# LiMn2Mo, optimized geometry, DFT GGA-PBE
data_LiMn2Mo
_space_group_name_H-M_alt 'C 1 2/m 1'
_space_group_IT_number 12
_cell_length_a 5.184
_cell_length_b 8.343
_cell_length_c 2.513
_cell_angle_alpha 90.00
_cell_angle_beta 112.42
_cell_angle_gamma 90.00
loop_
_space_group_symop_operation_xyz
'x,y,z'
'-x,-y,-z'
'-x,y,-z'
'x,-y,z'
'x+1/2,y+1/2,z'
'-x+1/2,-y+1/2,-z'
'-x+1/2,y+1/2,-z'
'x+1/2,-y+1/2,z'
loop_
_atom_site_label
_atom_site_fract_x
_atom_site_fract_y
_atom_site_fract_z
Li1 0.000 0.000 0.000
Mn1 0.250 0.250 0.500
Mo1 0.000 0.500 0.000
# **M_tot**: 3.9 μB per cell

Most stable structure, least stable structure: run a, run b.

Run a
# Li2MnMo, optimized geometry, DFT GGA-PBE
data_Li2MnMo
_space_group_name_H-M_alt 'I m m m'
_space_group_IT_number 71
_space_group_name_Hall '-I 2 2'
_cell_length_a 2.845
_cell_length_b 4.105
_cell_length_c 9.649
_cell_angle_alpha 90.00
_cell_angle_beta 90.00
_cell_angle_gamma 90.00
loop_
_atom_site_label
_atom_site_fract_x
_atom_site_fract_y
_atom_site_fract_z
Li1 0.000 0.000 0.241
Mn1 0.000 0.500 0.500
Mo1 0.000 0.500 0.000
# **M_tot**: 3.6 μB per cell

Run b
# Li2MnMo, optimized geometry, DFT GGA-PBE
data_Li2MnMo
_space_group_name_H-M_alt 'R -3 m'
_space_group_IT_number 166
_space_group_name_Hall '-R 3 2"'
_cell_length_a 2.6666
_cell_length_b 2.6666
_cell_length_c 29.1056
_cell_angle_alpha 90.00
_cell_angle_beta 90.00
_cell_angle_gamma 120.00
loop_
_atom_site_label
_atom_site_fract_x
_atom_site_fract_y
_atom_site_fract_z
Li1 0.0000 0.0000 0.2481
Mn1 0.0000 0.0000 0.5000
Mo1 0.0000 0.0000 0.0000
# **M_tot**: 8.4 μB per cell

Most stable structure, least stable structure: run a, run b.